No. 1
Material: Tl2Sn5Pb2
Method: DFT, PBE-GGA
State: optimized geometry

```
Tl2Sn5Pb2
1.0
3.753 0.000 0.000
1.576 5.875 0.000
1.748 0.412 12.036
Tl Sn Pb
2 5 2
Cartesian
1.703 2.302 3.405 Tl
5.374 3.985 8.630 Tl
1.796 0.742 7.182 Sn
3.453 4.524 11.402 Sn
3.538 3.144 6.018 Sn
3.624 1.763 0.633 Sn
5.281 5.545 4.854 Sn
3.466 1.264 10.098 Pb
3.611 5.023 1.938 Pb
```

space-group type = P-1
magnetic moment = 0.0 μB/cell
ΔH_f (0 K) = 52.8 meV/atom

***

No. 2
Material: ScAl3Tc
Method: DFT, PBE-GGA
State: optimized geometry

```
ScAl3Tc
1.0
5.006 0.000 0.000
0.000 5.006 0.000
0.000 0.000 5.006
Sc Al Tc
1 3 1
Cartesian
0.000 0.000 0.000 Sc
0.000 0.000 2.503 Al
0.000 2.503 0.000 Al
2.503 0.000 0.000 Al
2.503 2.503 2.503 Tc
```

space-group type = Pm-3m
magnetic moment = 3.2 μB/cell
ΔH_f (0 K) = 1534.3 meV/atom

***

No. 3
Material: Ti8Sb2Ir
Method: DFT, PBE-GGA
State: optimized geometry

```
Ti8Sb2Ir
1.0
7.301 -2.155 0.000
7.301 2.155 0.000
-2.567 0.000 6.211
Ti Sb Ir
8 2 1
Cartesian
-0.303 0.000 1.784 Ti
0.532 0.000 4.496 Ti
3.431 0.000 3.658 Ti
5.922 0.000 0.462 Ti
6.113 0.000 5.749 Ti
8.604 0.000 2.553 Ti
11.503 0.000 1.715 Ti
12.338 0.000 4.427 Ti
2.420 0.000 1.026 Sb
9.615 0.000 5.185 Sb
6.017 0.000 3.106 Ir
```

space-group type = C2/m
magnetic moment = 0.0 μB/cell
formation energy from raw total energies = -372 meV per atom

***

No. 4
Material: RbHgPdAu2
Method: DFT, PBE-GGA
State: optimized geometry

```
RbHgPdAu2
1.0
5.281 0.000 0.000
0.000 5.281 0.000
0.000 0.000 5.255
Rb Hg Pd Au
1 1 1 2
Cartesian
0.000 0.000 0.000 Rb
2.640 2.640 0.000 Hg
2.640 2.640 2.627 Pd
0.000 2.640 2.627 Au
2.640 0.000 2.627 Au
```

space-group type = P4/mmm
magnetic moment = 0.0 μB/cell
ΔH_f (0 K) = -66.1 meV/atom

***

No. 5
Material: Ca4BeAu
Method: DFT, PBE-GGA
State: optimized geometry

```
Ca4BeAu
1.0
0.000 4.527 4.527
4.527 0.000 4.527
4.527 4.527 0.000
Ca Be Au
4 1 1
Cartesian
1.131 1.131 1.131 Ca
3.396 3.396 1.131 Ca
3.396 1.131 3.396 Ca
1.131 3.396 3.396 Ca
4.527 4.527 4.527 Be
6.790 6.790 6.790 Au
```

space-group type = F-43m
magnetic moment = 0.0 μB/cell
ΔH_f (0 K) = 676.1 meV/atom

***

No. 6
Material: BaHg2Os
Method: DFT, PBE-GGA
State: optimized geometry

```
BaHg2Os
1.0
7.399 0.000 0.000
0.000 7.399 0.000
0.000 0.000 7.399
Ba Hg Os
4 8 4
Cartesian
0.000 0.000 0.000 Ba
0.000 3.699 3.699 Ba
3.699 0.000 3.699 Ba
3.699 3.699 0.000 Ba
1.850 1.850 1.850 Hg
1.850 1.850 5.549 Hg
1.850 5.549 1.850 Hg
1.850 5.549 5.549 Hg
5.549 1.850 1.850 Hg
5.549 1.850 5.549 Hg
5.549 5.549 1.850 Hg
5.549 5.549 5.549 Hg
0.000 0.000 3.699 Os
0.000 3.699 0.000 Os
3.699 0.000 0.000 Os
3.699 3.699 3.699 Os
```

space-group type = Fm-3m
magnetic moment = 0.0 μB/cell
ΔH_f (0 K) = 652.6 meV/atom

***

No. 7
Material: CrCuNi
Method: DFT, PBE-GGA
State: optimized geometry

```
CrCuNi
1.0
2.512 0.000 0.000
-1.256 2.175 0.000
0.000 0.000 6.308
Cr Cu Ni
1 1 1
Cartesian
0.000 0.000 0.000 Cr
1.256 0.725 2.187 Cu
0.000 1.450 4.310 Ni
```

space-group type = P3m1
magnetic moment = 0.4 μB/cell
ΔH_f (0 K) = 163.2 meV/atom

***

No. 8
Material: GaAg2Sb
Method: DFT, PBE-GGA
State: optimized geometry

```
GaAg2Sb
1.0
6.956 0.000 0.000
0.000 6.956 0.000
0.000 0.000 6.956
Ga Ag Sb
4 8 4
Cartesian
0.000 0.000 0.000 Ga
0.000 3.478 3.478 Ga
3.478 0.000 3.478 Ga
3.478 3.478 0.000 Ga
1.739 1.739 1.739 Ag
1.739 1.739 5.217 Ag
1.739 5.217 1.739 Ag
1.739 5.217 5.217 Ag
5.217 1.739 1.739 Ag
5.217 1.739 5.217 Ag
5.217 5.217 1.739 Ag
5.217 5.217 5.217 Ag
0.000 0.000 3.478 Sb
0.000 3.478 0.000 Sb
3.478 0.000 0.000 Sb
3.478 3.478 3.478 Sb
```

space-group type = Fm-3m
magnetic moment = 0.0 μB/cell
formation energy from raw total energies = 104 meV per atom

***

No. 9
Material: Dy3Tm2In2
Method: DFT, PBE-GGA
State: optimized geometry

```
Dy3Tm2In2
1.0
4.957 0.000 0.000
0.000 23.235 0.000
0.000 0.000 3.438
Dy Tm In
6 4 4
Cartesian
0.000 0.000 0.000 Dy
0.000 3.376 0.000 Dy
0.000 19.859 0.000 Dy
2.479 8.242 0.000 Dy
2.479 11.617 0.000 Dy
2.479 14.993 0.000 Dy
0.000 6.646 1.719 Tm
0.000 16.589 1.719 Tm
2.479 4.972 1.719 Tm
2.479 18.263 1.719 Tm
0.000 9.956 1.719 In
0.000 13.278 1.719 In
2.479 1.661 1.719 In
2.479 21.574 1.719 In
```

space-group type = Cmmm
magnetic moment = 0.8 μB/cell
ΔH_f (0 K) = -158.0 meV/atom

***

No. 10
Material: NaBe2Zn
Method: DFT, PBE-GGA
State: optimized geometry

```
NaBe2Zn
1.0
4.242 0.000 0.000
0.000 4.242 0.000
0.000 0.000 16.235
Na Be Zn
4 8 4
Cartesian
0.000 1.060 6.088 Na
0.000 3.181 10.147 Na
2.121 1.060 2.029 Na
2.121 3.181 14.206 Na
0.000 0.000 0.000 Be
0.000 2.121 0.000 Be
1.060 1.060 12.176 Be
1.060 3.181 4.059 Be
2.121 0.000 8.118 Be
2.121 2.121 8.118 Be
3.181 1.060 12.176 Be
3.181 3.181 4.059 Be
0.000 1.060 14.206 Zn
0.000 3.181 2.029 Zn
2.121 1.060 10.147 Zn
2.121 3.181 6.088 Zn
```

space-group type = I4_1/amd
magnetic moment = 0.0 μB/cell
ΔH_f (0 K) = 506.5 meV/atom

***

No. 11
Material: Sm2BiSe
Method: DFT, PBE-GGA
State: optimized geometry

```
Sm2BiSe
1.0
4.367 0.000 0.000
-2.183 3.782 0.000
0.000 0.000 21.437
Sm Bi Se
6 3 3
Cartesian
0.000 0.000 5.215 Sm
0.000 0.000 16.222 Sm
0.000 2.521 9.076 Sm
0.000 2.521 19.507 Sm
2.183 1.261 1.930 Sm
2.183 1.261 12.361 Sm
0.000 0.000 0.000 Bi
0.000 2.521 14.291 Bi
2.183 1.261 7.146 Bi
0.000 0.000 10.718 Se
0.000 2.521 3.573 Se
2.183 1.261 17.864 Se
```

space-group type = R-3m
magnetic moment = 0.0 μB/cell
formation energy from raw total energies = -1350 meV per atom

***

No. 12
Material: NiP2
Method: DFT, PBE-GGA
State: optimized geometry

```
NiP2
1.0
2.574 0.000 0.000
0.000 2.574 0.000
0.000 0.000 30.888
Ni P
4 8
Cartesian
0.000 0.643 11.583 Ni
0.000 1.930 19.305 Ni
1.287 0.643 3.861 Ni
1.287 1.930 27.027 Ni
0.000 0.643 25.388 P
0.000 0.643 28.666 P
0.000 1.930 2.222 P
0.000 1.930 5.500 P
1.287 0.643 17.666 P
1.287 0.643 20.944 P
1.287 1.930 9.944 P
1.287 1.930 13.222 P
```

space-group type = I4_1/amd
magnetic moment = 0.0 μB/cell
ΔH_f (0 K) = 32.5 meV/atom

***

No. 13
Material: K2AlIn
Method: DFT, PBE-GGA
State: optimized geometry

```
K2AlIn
1.0
4.806 0.000 0.000
0.000 6.237 0.000
0.000 0.000 10.236
K Al In
4 2 2
Cartesian
0.000 0.000 0.000 K
0.000 3.118 1.932 K
2.403 0.000 7.050 K
2.403 3.118 5.118 K
0.000 3.118 8.081 Al
2.403 0.000 2.963 Al
0.000 0.000 4.105 In
2.403 3.118 9.223 In
```

space-group type = Imm2
magnetic moment = 0.0 μB/cell
ΔH_f (0 K) = 66.3 meV/atom

***

No. 14
Material: Pu2BePd
Method: DFT, PBE-GGA
State: optimized geometry

```
Pu2BePd
1.0
3.704 0.000 0.000
0.000 3.704 0.000
0.000 0.000 5.810
Pu Be Pd
2 1 1
Cartesian
0.000 0.000 1.422 Pu
0.000 0.000 4.388 Pu
1.852 1.852 0.000 Be
1.852 1.852 2.905 Pd
```

space-group type = P4/mmm
magnetic moment = 10.9 μB/cell
ΔH_f (0 K) = -32.5 meV/atom

***

| no. | density of states at the Fermi level (states/eV per cell) |
| --- | --- |
| 1 | 3.49 |
| 2 | 3.64 |
| 3 | 12.14 |
| 4 | 0.82 |
| 5 | 5.31 |
| 6 | 13.63 |
| 7 | 4.17 |
| 8 | 2.99 |
| 9 | 13.28 |
| 10 | 6.04 |
| 11 | 5.99 |
| 12 | 2.19 |
| 13 | 2.00 |
| 14 | 14.39 |